Here is a geometry-optimized Ti4CuSn2 structure from Alexandria. Energies are from PBE.

Cell and atoms, written as POSCAR:
```
Ti4CuSn2
1.0
4.976 0.000 -0.690
0.000 5.636 0.000
-2.488 0.000 9.346
Sn Ti Cu
4 8 2
direct
0.345 0.250 0.972 Sn
0.655 0.750 0.028 Sn
0.229 0.250 0.436 Sn
0.771 0.750 0.564 Sn
0.869 0.250 0.615 Ti
0.131 0.750 0.385 Ti
0.614 0.021 0.289 Ti
0.027 0.750 0.864 Ti
0.386 0.521 0.711 Ti
0.614 0.479 0.289 Ti
0.973 0.250 0.136 Ti
0.386 0.979 0.711 Ti
0.793 0.250 0.857 Cu
0.207 0.750 0.143 Cu
```

size of the total moment = 0.00 Bohr magnetons per cell
total energy = -6.39 eV/atom
formation energy from the elements = -0.145 eV per atom

Here is a geometry-optimized K2AlSb2Se6 structure from Alexandria. Energies are from PBE.

Cell and atoms, written as POSCAR:
```
K2AlSb2Se6
1.0
6.884 0.003 0.015
-3.400 5.986 0.015
-1.295 -2.225 7.956
Sb Se K Al
2 6 2 1
direct
0.331 0.669 0.500 Sb
0.669 0.331 0.500 Sb
0.229 0.229 0.310 Se
0.928 0.623 0.306 Se
0.771 0.771 0.690 Se
0.377 0.072 0.694 Se
0.072 0.377 0.694 Se
0.623 0.928 0.306 Se
0.175 0.825 0.000 K
0.825 0.175 0.000 K
0.000 0.000 0.500 Al
```

size of the total moment = 0.00 Bohr magnetons per cell
formation energy from raw total energies = -7.61 eV/f.u.
total energy = -3.88 eV/atom